Record 1
! La2Sm3Tm2 (GGA-PBE, relaxed); values from VASP
! E above lowest polymorph: 0.00 kJ per mole of atoms
! Formation energy: 0.019 eV per atom
! Final energy: -0.172 hartree per atom
! Total magnetization: 0.000 μB per atom
! Space group: C2/m (12)
&SYSTEM
  ibrav = 0, nat = 7, ntyp = 3
/
ATOMIC_SPECIES
La 138.91 La.upf
Sm 150.36 Sm.upf
Tm 168.93 Tm.upf
CELL_PARAMETERS angstrom
5.953 -1.819 0.000
5.953 1.819 0.000
-1.048 0.000 10.831
ATOMIC_POSITIONS angstrom
La 2.201 0.000 3.837
La 8.658 0.000 6.994
Sm 3.293 0.000 10.088
Sm 5.429 0.000 5.416
Sm 7.565 0.000 0.744
Tm 0.006 0.000 8.544
Tm 10.853 0.000 2.287

Record 2
! MgTe2Cl (GGA-PBE, relaxed); values from VASP
! Formation energy from raw total energies: -0.031 eV per atom
! E above lowest polymorph: 67.83 kJ per mole of atoms
! Final energy: -0.090 hartree per atom
! Total magnetization: 0.000 μB per atom
! Space group: P4/mmm (123)
&SYSTEM
  ibrav = 0, nat = 4, ntyp = 3
/
ATOMIC_SPECIES
Mg 24.30 Mg.upf
Te 127.60 Te.upf
Cl 35.45 Cl.upf
CELL_PARAMETERS angstrom
5.559 0.000 0.000
0.000 5.559 0.000
0.000 0.000 3.290
ATOMIC_POSITIONS angstrom
Mg 0.000 0.000 0.000
Te 0.000 2.780 1.645
Te 2.780 0.000 1.645
Cl 2.780 2.780 0.000

Record 3
! KAgIBr2 (GGA-PBE, relaxed); values from VASP
! Formation energy from raw total energies: -0.756 eV per atom
! E above lowest polymorph: 0.00 kJ per mole of atoms
! Final energy: -0.093 hartree per atom
! Total magnetization: 0.000 μB per atom
! Space group: P4/mmm (123)
&SYSTEM
  ibrav = 0, nat = 5, ntyp = 4
/
ATOMIC_SPECIES
K 39.10 K.upf
Ag 107.87 Ag.upf
I 126.90 I.upf
Br 79.90 Br.upf
CELL_PARAMETERS angstrom
5.465 0.000 0.000
0.000 5.465 0.000
0.000 0.000 5.710
ATOMIC_POSITIONS angstrom
K 0.000 0.000 0.000
Ag 2.733 2.733 2.855
I 2.733 2.733 0.000
Br 0.000 2.733 2.855
Br 2.733 0.000 2.855

Which value of final energy does entry 3 give? -0.093 hartree per atom

Which value of E above lowest polymorph does entry 1 give? 0.00 kJ per mole of atoms

What is the total magnetization in the first record? 0.000 μB per atom

What is the formula in the third record? KAgIBr2